Entry 1:
VASP calculation (PBE-GGA) on Np2Tl2Se5 after structural relaxation.

a b c (Å): 16.2962 7.8580 7.8545
angles (deg): 90.00 90.00 90.00
Last column: nearest neighbours and their distance in Å.
Space group Cmce (No. 64)
One atom of each set of equivalent atoms:
Np (0.0000, 0.1583, 0.1586) (multiplicity 8)  8 Se 2.83-3.01
Tl (0.2001, 0.0000, 0.5000) (multiplicity 8)  7 Se 3.26-3.47
Se (0.0000, 0.0000, 0.5000) (multiplicity 4)  4 Np 2.96, 2 Tl 3.26
Se (0.1118, 0.1469, 0.8537) (multiplicity 16)  3 Np 2.83-3.01

Computed properties:
For the total DFT energy (no corrections), the calculation gives -6.198 eV/atom. The value obtained for the size of the total moment is 24.0 Bohr magnetons per cell. Its raw formation energy is -7.74 eV/f.u. The crystal system is orthorhombic.

=====

Entry 2:
VASP calculation (PBE-GGA) on Np2TlSe4 after structural relaxation.

a b c (Å): 4.1779 13.8832 14.1721
angles (deg): 90.00 90.00 90.00
Last column: nearest neighbours and their distance in Å.
Space group Cmcm (No. 63)
One atom of each set of equivalent atoms:
Np (0.0000, 0.1343, 0.0631) (multiplicity 8)  6 Se 2.77-2.94
Tl (0.0000, 0.4024, 0.2500) (multiplicity 4)  6 Se 3.18-3.48
Se (0.0000, 0.0749, 0.2500) (multiplicity 4)  2 Np 2.77
Se (0.0000, 0.2376, 0.6100) (multiplicity 8)  3 Np 2.82-2.84
Se (0.0000, 0.5000, 0.0000) (multiplicity 4)  4 Np 2.94

Computed properties:
For the total DFT energy (no corrections), the calculation gives -6.984 eV/atom. The value obtained for the size of the total moment is 28.0 Bohr magnetons per cell. Its raw formation energy is -6.70 eV/f.u. The crystal system is orthorhombic.

=====

Entry 3:
VASP calculation (PBE-GGA) on NpTlSe after structural relaxation.

a b c (Å): 5.8171 15.5796 3.4574
angles (deg): 90.00 90.00 90.00
Last column: nearest neighbours and their distance in Å.
Space group Cmcm (No. 63)
One atom of each set of equivalent atoms:
Np (0.0000, 0.0552, 0.2500) (multiplicity 4)  2 Np 2.44
Tl (0.0000, 0.4069, 0.2500) (multiplicity 4)  2 Se 3.29, 4 Tl 3.38-3.46, 4 Np 3.43
Se (0.0000, 0.1911, 0.7500) (multiplicity 4)  2 Np 2.73

Computed properties:
For the total DFT energy (no corrections), the calculation gives -6.540 eV/atom. The value obtained for the size of the total moment is 4.0 Bohr magnetons per cell. Its raw formation energy is -0.83 eV/f.u. The crystal system is orthorhombic.

=====

Entry 4:
VASP calculation (PBE-GGA) on NpTl5Se5 after structural relaxation.

a b c (Å): 14.3739 6.1090 9.0679
angles (deg): 90.00 112.75 90.00
Last column: nearest neighbours and their distance in Å.
Space group C2/m (No. 12)
One atom of each set of equivalent atoms:
Np (0.0000, 0.0000, 0.0000) (multiplicity 2)  4 Se 2.70-2.74
Tl (0.0000, 0.0000, 0.5000) (multiplicity 2)  4 Se 3.17-3.34
Tl (0.1541, 0.5000, 0.8059) (multiplicity 4)  4 Se 3.09-3.32
Tl (0.1978, 0.5000, 0.3037) (multiplicity 4)  5 Se 3.10-3.43
Se (0.0000, 0.5000, 0.0000) (multiplicity 2)  2 Np 3.05, 4 Tl 3.10-3.32
Se (0.1398, 0.0000, 0.3024) (multiplicity 4)  1 Np 2.70
Se (0.1517, 0.0000, 0.8874) (multiplicity 4)  1 Np 2.74

Computed properties:
For the total DFT energy (no corrections), the calculation gives -4.376 eV/atom. The value obtained for the size of the total moment is 4.0 Bohr magnetons per cell. Its raw formation energy is -5.94 eV/f.u. The crystal system is monoclinic.

=====

Entry 5:
VASP calculation (PBE-GGA) on NpTl2Se4 after structural relaxation.

a b c (Å): 9.2746 9.2746 9.0084
angles (deg): 90.00 90.00 90.00
Last column: nearest neighbours and their distance in Å.
Space group I-42d (No. 122)
One atom of each set of equivalent atoms:
Np (0.0000, 0.0000, 0.0000) (multiplicity 4)  8 Se 2.90-3.03
Tl (0.1000, 0.7500, 0.6250) (multiplicity 8)  8 Se 3.17-3.43
Se (0.0603, 0.6936, 0.9856) (multiplicity 16)  1 Se 2.72, 2 Np 2.90-3.03

Computed properties:
For the total DFT energy (no corrections), the calculation gives -5.052 eV/atom. The value obtained for the size of the total moment is 14.2 Bohr magnetons per cell. Its raw formation energy is -3.75 eV/f.u. The value obtained for the offset from the most stable computed form is 0.040 eV/atom. The crystal system is tetragonal.

=====

Entry 6:
VASP calculation (PBE-GGA) on NpTl2Se4 after structural relaxation.

a b c (Å): 7.4387 4.1605 8.8127
angles (deg): 90.00 113.12 90.00
Last column: nearest neighbours and their distance in Å.
Space group P2/m (No. 10)
One atom of each set of equivalent atoms:
Np (0.0000, 0.0000, 0.0000) (multiplicity 1)  6 Se 2.62-2.75
Tl (0.2435, 0.5000, 0.6943) (multiplicity 2)  4 Se 3.10-3.48
Se (0.0707, 0.0000, 0.3156) (multiplicity 2)  1 Np 2.62
Se (0.2604, 0.5000, 0.0563) (multiplicity 2)  2 Np 2.75

Computed properties:
For the total DFT energy (no corrections), the calculation gives -5.092 eV/atom. The value obtained for the size of the total moment is 1.0 Bohr magnetons per cell. Its raw formation energy is -4.03 eV/f.u. The value obtained for the offset from the most stable computed form is 0.000 eV/atom. The crystal system is monoclinic.